# 1
A plane-wave DFT calculation with GGA-PBE was carried out for a relaxed structure of Nd4C2Se.

abc: 3.8489 3.8489 13.8063
angles: 81.99 81.99 60.00
Last column: nearest neighbours and their distance in Å.
Fractional coordinates of all 7 atoms:
C: 0.5800 0.5800 0.2600  6 Nd 2.55-2.71
Nd: 0.2847 0.2847 0.1459  3 C 2.71, 3 Se 2.98
Nd: 0.7153 0.7153 0.8541  3 C 2.71, 3 Se 2.98
Nd: 0.1175 0.1175 0.6476  3 C 2.55
Nd: 0.8825 0.8825 0.3524  3 C 2.55
Se: 0.0000 0.0000 0.0000  6 Nd 2.98
C: 0.4200 0.4200 0.7400  6 Nd 2.55-2.71

## Properties
Crystal system   trigonal

***

# 2
A plane-wave DFT calculation with GGA-PBE was carried out for a relaxed structure of Nd2Ni3As4Pd.

abc: 4.2774 4.2774 9.5781
angles: 90.00 90.00 90.00
Last column: nearest neighbours and their distance in Å.
Fractional coordinates of all 10 atoms:
Pd: 0.5000 0.5000 0.5000  4 As 2.52
Ni: 0.5000 0.0000 0.8862  5 As 2.37-2.40
Nd: 0.5000 0.0000 0.2467  8 As 3.19-3.22, 2 Pd 3.23, 7 Ni 3.23-3.45
Ni: 0.0000 0.0000 0.5000  4 As 2.52
Ni: 0.0000 0.5000 0.1138  5 As 2.37-2.40
Nd: 0.0000 0.5000 0.7533  8 As 3.19-3.22, 7 Ni 3.23-3.45, 2 Pd 3.23
As: 0.5000 0.5000 0.0000  4 Ni 2.40
As: 0.0000 0.5000 0.3615  3 Ni 2.37-2.52, 2 Pd 2.52
As: 0.0000 0.0000 0.0000  4 Ni 2.40
As: 0.5000 0.0000 0.6385  3 Ni 2.37-2.52, 2 Pd 2.52

## Properties
Crystal system   tetragonal

***

Record order is preserved below.
Total magnetization: 0.000, 0.000 μB per formula unit
Record order is preserved below.
Uncorrected energy: -6.466, -5.914 eV per atom